## K2PdC4N4 (PBE)

Data for crystalline K2PdC4N4 at its relaxed geometry.

The electronic total energy comes out at -7.177 eV per atom.

It has space group P2_1/c (No. 14), with a = 4.435 Å, b = 7.853 Å, c = 13.724 Å, α = 90.00°, β = 91.04° and γ = 90.00°. The distinct sites, in fractional coordinates, are K at (0.216, 0.045, 0.344), Pd at (0.500, 0.000, 0.000), C at (0.342, 0.622, 0.616), C at (0.350, 0.222, 0.051), N at (0.253, 0.699, 0.683) and N at (0.265, 0.145, 0.579).


## Cs3TlBr4 (PBE)

Data for crystalline Cs3TlBr4 at its relaxed geometry.

The electronic total energy comes out at -2.970 eV per atom. The value obtained for the energy above the most stable polymorph in this dataset is 24.7 kJ/mol of formula units.

It has space group Pmn2_1 (No. 31), with a = 12.221 Å, b = 10.512 Å, c = 7.253 Å, α = 90.00°, β = 90.00° and γ = 90.00°. The distinct sites, in fractional coordinates, are Cs at (0.000, 0.157, 0.000), Cs at (0.247, 0.331, 0.500), Tl at (0.000, 0.828, 0.485), Br at (0.000, 0.142, 0.500), Br at (0.000, 0.824, 0.047) and Br at (0.239, 0.675, 0.500).


Energy relative to the elements, uncorrected / eV per atom: -0.124 -1.518
Volume / Å³/atom: 21.72 58.23
Magnetic moment / μB per formula unit: 0.00 0.00